1.
Compound: CaScCl2
Source: Alexandria
Functional: PBE
Structure: relaxed

Structure (CIF):
```
data_CaScCl2
_chemical_formula_sum 'Ca4 Sc4 Cl8'
_symmetry_space_group_name_H-M 'F m -3 m'
_symmetry_Int_Tables_number 225
_symmetry_space_group_name_Hall '-F 4 2 3'
_cell_length_a 6.902
_cell_length_b 6.902
_cell_length_c 6.902
_cell_angle_alpha 90.00
_cell_angle_beta 90.00
_cell_angle_gamma 90.00
loop_
_atom_site_label
_atom_site_fract_x
_atom_site_fract_y
_atom_site_fract_z
Ca1 0.000 0.000 0.000
Sc1 0.000 0.000 0.500
Cl1 0.250 0.250 0.250
```



2.
Compound: CaScCl2
Source: Alexandria
Functional: PBE
Structure: relaxed

Structure (CIF):
```
data_CaScCl2
_chemical_formula_sum 'Ca1 Sc1 Cl2'
_symmetry_space_group_name_H-M 'P 4/m m m'
_symmetry_Int_Tables_number 123
_symmetry_space_group_name_Hall '-P 4 2'
_cell_length_a 3.305
_cell_length_b 3.305
_cell_length_c 9.892
_cell_angle_alpha 90.00
_cell_angle_beta 90.00
_cell_angle_gamma 90.00
loop_
_atom_site_label
_atom_site_fract_x
_atom_site_fract_y
_atom_site_fract_z
Ca1 0.000 0.000 0.000
Sc1 0.000 0.000 0.500
Cl1 0.500 0.500 0.346
```



3.
Compound: CaScCl2
Source: Alexandria
Functional: PBE
Structure: relaxed

Structure (CIF):
```
data_CaScCl2
_chemical_formula_sum 'Ca1 Sc1 Cl2'
_symmetry_space_group_name_H-M 'P m m m'
_symmetry_Int_Tables_number 47
_cell_length_a 3.424
_cell_length_b 4.354
_cell_length_c 6.720
_cell_angle_alpha 90.00
_cell_angle_beta 90.00
_cell_angle_gamma 90.00
loop_
_symmetry_equiv_pos_as_xyz
'x,y,z'
'-x,-y,-z'
'-x,-y,z'
'x,y,-z'
'x,-y,-z'
'-x,y,z'
'-x,y,-z'
'x,-y,z'
loop_
_atom_site_label
_atom_site_fract_x
_atom_site_fract_y
_atom_site_fract_z
Ca1 0.000 0.000 0.000
Sc1 0.500 0.000 0.500
Cl1 0.000 0.500 0.500
Cl2 0.500 0.500 0.000
```



Here is how they stack up, most stable first: 3, 2, 1.



1.
Compound: CaScCl2
Source: Alexandria
Functional: PBE
Structure: relaxed

Structure (CIF):
```
data_CaScCl2
_chemical_formula_sum 'Ca2 Sc2 Cl4'
_symmetry_space_group_name_H-M 'I m m m'
_symmetry_Int_Tables_number 71
_symmetry_space_group_name_Hall '-I 2 2'
_cell_length_a 3.450
_cell_length_b 6.608
_cell_length_c 8.863
_cell_angle_alpha 90.00
_cell_angle_beta 90.00
_cell_angle_gamma 90.00
loop_
_atom_site_label
_atom_site_fract_x
_atom_site_fract_y
_atom_site_fract_z
Ca1 0.000 0.000 0.000
Sc1 0.000 0.000 0.500
Cl1 0.000 0.500 0.221
```



2.
Compound: CaScCl2
Source: Alexandria
Functional: PBE
Structure: relaxed

Structure (CIF):
```
data_CaScCl2
_chemical_formula_sum 'Ca4 Sc4 Cl8'
_symmetry_space_group_name_H-M 'I -4 2 d'
_symmetry_Int_Tables_number 122
_symmetry_space_group_name_Hall 'I -4 2bw'
_cell_length_a 6.115
_cell_length_b 6.115
_cell_length_c 12.227
_cell_angle_alpha 90.00
_cell_angle_beta 90.00
_cell_angle_gamma 90.00
loop_
_atom_site_label
_atom_site_fract_x
_atom_site_fract_y
_atom_site_fract_z
Ca1 0.000 0.000 0.000
Sc1 0.000 0.000 0.500
Cl1 0.225 0.250 0.625
```



3.
Compound: CaScCl2
Source: Alexandria
Functional: PBE
Structure: relaxed

Structure (CIF):
```
data_CaScCl2
_chemical_formula_sum 'Ca1 Sc1 Cl2'
_symmetry_space_group_name_H-M 'P 1 2/m 1'
_symmetry_Int_Tables_number 10
_cell_length_a 3.699
_cell_length_b 4.303
_cell_length_c 6.190
_cell_angle_alpha 90.00
_cell_angle_beta 95.08
_cell_angle_gamma 90.00
loop_
_symmetry_equiv_pos_as_xyz
'x,y,z'
'-x,-y,-z'
'-x,y,-z'
'x,-y,z'
loop_
_atom_site_label
_atom_site_fract_x
_atom_site_fract_y
_atom_site_fract_z
Ca1 0.000 0.000 0.000
Sc1 0.500 0.000 0.500
Cl1 0.340 0.500 0.250
```



4.
Compound: CaScCl2
Source: Alexandria
Functional: PBE
Structure: relaxed

Structure (CIF):
```
data_CaScCl2
_chemical_formula_sum 'Ca4 Sc4 Cl8'
_symmetry_space_group_name_H-M 'F -4 3 m'
_symmetry_Int_Tables_number 216
_symmetry_space_group_name_Hall 'F -4 2 3'
_cell_length_a 7.525
_cell_length_b 7.525
_cell_length_c 7.525
_cell_angle_alpha 90.00
_cell_angle_beta 90.00
_cell_angle_gamma 90.00
loop_
_atom_site_label
_atom_site_fract_x
_atom_site_fract_y
_atom_site_fract_z
Ca1 0.000 0.000 0.000
Sc1 0.250 0.250 0.250
Cl1 0.000 0.000 0.500
Cl2 0.250 0.250 0.750
```



Here is how they stack up, most stable first: 1, 3, 2, 4.



1.
Compound: CaScCl2
Source: Alexandria
Functional: PBE
Structure: relaxed

Structure (CIF):
```
data_CaScCl2
_chemical_formula_sum 'Ca2 Sc2 Cl4'
_symmetry_space_group_name_H-M 'C 1 m 1'
_symmetry_Int_Tables_number 8
_cell_length_a 18.603
_cell_length_b 3.455
_cell_length_c 3.457
_cell_angle_alpha 90.00
_cell_angle_beta 90.16
_cell_angle_gamma 90.00
loop_
_symmetry_equiv_pos_as_xyz
'x,y,z'
'x,-y,z'
'x+1/2,y+1/2,z'
'x+1/2,-y+1/2,z'
loop_
_atom_site_label
_atom_site_fract_x
_atom_site_fract_y
_atom_site_fract_z
Ca1 0.000 0.000 0.000
Sc1 0.349 0.000 0.498
Cl1 0.077 0.500 0.501
Cl2 0.282 0.500 0.997
```



2.
Compound: CaScCl2
Source: Alexandria
Functional: PBE
Structure: relaxed

Structure (CIF):
```
data_CaScCl2
_chemical_formula_sum 'Ca1 Sc1 Cl2'
_symmetry_space_group_name_H-M 'P 4/m m m'
_symmetry_Int_Tables_number 123
_symmetry_space_group_name_Hall '-P 4 2'
_cell_length_a 4.889
_cell_length_b 4.889
_cell_length_c 3.411
_cell_angle_alpha 90.00
_cell_angle_beta 90.00
_cell_angle_gamma 90.00
loop_
_atom_site_label
_atom_site_fract_x
_atom_site_fract_y
_atom_site_fract_z
Ca1 0.000 0.000 0.000
Sc1 0.500 0.500 0.000
Cl1 0.000 0.500 0.500
```



Here is how they stack up, most stable first: 1, 2.